VASP calculation (GGA-PBE) on a geometry-optimized Mg5Sb3 structure.

Results
polymorph energy (0 for the lowest one) = 3 meV per atom
symmetry = C2 (5)

Cell lengths 8.4613, 8.4613, 8.4297 Å; angles 97.09, 97.09, 136.91 degrees
Fractional positions:
Sb 0.3401 0.1599 0.5000
Sb 0.7506 0.7490 0.9999
Sb 0.1633 0.6637 0.8158
Sb 0.8365 0.3369 0.1843
Sb 0.6597 0.8403 0.5000
Sb 0.2483 0.2512 0.9999
Mg 0.5885 0.2844 0.8558
Mg 0.9512 0.8089 0.6974
Mg 0.2461 0.7463 0.4904
Mg 0.7537 0.2540 0.5097
Mg 0.3081 0.4510 0.6974
Mg 0.6904 0.5481 0.3025
Mg 0.0483 0.1912 0.3025
Mg 0.2147 0.9107 0.1443
Mg 0.7829 0.0883 0.8553
Mg 0.4110 0.7163 0.1447

=====

VASP calculation (GGA-PBE) on a geometry-optimized MgSb structure.

Results
symmetry = Cm (8)

Cell lengths 5.9476, 5.9476, 8.2713 Å; angles 76.85, 76.85, 32.21 degrees
Fractional positions:
Sb 0.4071 0.4071 0.6996
Sb 0.2359 0.2359 0.3578
Sb 0.0783 0.0783 0.0142
Mg 0.8106 0.8106 0.0288
Mg 0.9643 0.9643 0.3754
Mg 0.6705 0.6705 0.6909

=====

VASP calculation (GGA-PBE) on a geometry-optimized MgSb3 structure.

Results
polymorph energy (0 for the lowest one) = 214 meV per atom
symmetry = P-6m2 (187)

Cell lengths 3.3225, 3.3225, 11.0313 Å; angles 90.00, 90.00, 120.00 degrees
Fractional positions:
Sb 0.6667 0.3333 0.7756
Sb 0.6667 0.3333 0.2244
Sb 0.0000 0.0000 0.5000
Mg 0.0000 0.0000 0.0000

=====

VASP calculation (GGA-PBE) on a geometry-optimized MgSb4 structure.

Results
polymorph energy (0 for the lowest one) = 505 meV per atom
symmetry = Pm-3m (221)

Cell lengths 5.3569, 5.3569, 5.3569 Å; angles 90.00, 90.00, 90.00 degrees
Fractional positions:
Sb 0.0000 0.0000 0.0000
Sb 0.5000 0.0000 0.5000
Sb 0.0000 0.5000 0.5000
Sb 0.5000 0.5000 0.0000
Mg 0.5000 0.5000 0.5000

=====

VASP calculation (GGA-PBE) on a geometry-optimized MgSb3 structure.

Results
polymorph energy (0 for the lowest one) = 0 meV per atom
symmetry = Cmcm (63)

Cell lengths 6.1122, 6.1122, 6.0435 Å; angles 90.00, 90.00, 93.17 degrees
Fractional positions:
Sb 0.6957 0.7536 0.7500
Sb 0.7976 0.2024 0.2500
Sb 0.3043 0.2464 0.2500
Sb 0.7536 0.6957 0.2500
Sb 0.2024 0.7976 0.7500
Sb 0.2464 0.3043 0.7500
Mg 0.7441 0.2559 0.7500
Mg 0.2559 0.7441 0.2500

=====

VASP calculation (GGA-PBE) on a geometry-optimized MgSb2 structure.

Results
symmetry = C2/m (12)

Cell lengths 6.1026, 6.1026, 8.7798 Å; angles 72.46, 72.46, 30.62 degrees
Fractional positions:
Sb 0.1583 0.1583 0.4296
Sb 0.4443 0.4443 0.8478
Sb 0.8417 0.8417 0.5704
Sb 0.5557 0.5557 0.1522
Mg 0.8219 0.8219 0.1512
Mg 0.1781 0.1781 0.8488

=====

VASP calculation (GGA-PBE) on a geometry-optimized MgSb2 structure.

Results
symmetry = Cmcm (63)

Cell lengths 5.5768, 5.5768, 5.6771 Å; angles 90.00, 90.00, 120.06 degrees
Fractional positions:
Sb 0.9146 0.5895 0.2500
Sb 0.0854 0.4105 0.7500
Sb 0.5895 0.9146 0.2500
Sb 0.4105 0.0854 0.7500
Mg 0.2531 0.2531 0.2500
Mg 0.7469 0.7469 0.7500

=====

VASP calculation (GGA-PBE) on a geometry-optimized Mg5Sb3 structure.

Results
polymorph energy (0 for the lowest one) = 19 meV per atom
symmetry = Cmmm (65)

Cell lengths 6.9038, 6.9038, 4.6199 Å; angles 90.00, 90.00, 115.37 degrees
Fractional positions:
Mg 0.0000 0.5000 0.0000
Mg 0.0000 0.0000 0.0000
Mg 0.5000 0.0000 0.0000
Mg 0.7230 0.7230 0.5000
Mg 0.2770 0.2770 0.5000
Sb 0.5000 0.5000 0.0000
Sb 0.1811 0.8189 0.5000
Sb 0.8189 0.1811 0.5000

=====

VASP calculation (GGA-PBE) on a geometry-optimized MgSb structure.

Results
symmetry = Fddd (70)

Cell lengths 8.1642, 15.0894, 9.4873 Å; angles 90.00, 90.00, 90.00 degrees
Fractional positions:
Mg 0.2251 0.5000 0.0000
Mg 0.4751 0.7500 0.7500
Mg 0.7251 0.5000 0.5000
Mg 0.5249 0.2500 0.7500
Mg 0.9751 0.7500 0.2500
Mg 0.5249 0.7500 0.2500
Mg 0.0249 0.2500 0.2500
Mg 0.4751 0.2500 0.2500
Mg 0.7749 0.0000 0.5000
Mg 0.9751 0.2500 0.7500
Mg 0.0249 0.7500 0.7500
Mg 0.7251 0.0000 0.0000
Mg 0.7749 0.5000 0.0000
Mg 0.2251 0.0000 0.5000
Mg 0.2749 0.0000 0.0000
Mg 0.2749 0.5000 0.5000
Sb 0.2500 0.9004 0.7500
Sb 0.0000 0.6504 0.0000
Sb 0.2500 0.0996 0.2500
Sb 0.7500 0.9004 0.2500
Sb 0.0000 0.8496 0.5000
Sb 0.0000 0.3496 0.0000
Sb 0.7500 0.4004 0.7500
Sb 0.7500 0.5996 0.2500
Sb 0.5000 0.3496 0.5000
Sb 0.2500 0.4004 0.2500
Sb 0.0000 0.1504 0.5000
Sb 0.7500 0.0996 0.7500
Sb 0.5000 0.6504 0.5000
Sb 0.2500 0.5996 0.7500
Sb 0.5000 0.1504 0.0000
Sb 0.5000 0.8496 0.0000

=====

VASP calculation (GGA-PBE) on a geometry-optimized MgSb4 structure.

Results
polymorph energy (0 for the lowest one) = 25 meV per atom
symmetry = Im-3m (229)

Cell lengths 5.7897, 5.7897, 5.7897 Å; angles 109.47, 109.47, 109.47 degrees
Fractional positions:
Sb 0.5000 0.0000 0.0000
Sb 0.0000 0.0000 0.5000
Sb 0.5000 0.5000 0.5000
Sb 0.0000 0.5000 0.0000
Mg 0.0000 0.0000 0.0000

=====

VASP calculation (GGA-PBE) on a geometry-optimized MgSb3 structure.

Results
polymorph energy (0 for the lowest one) = 142 meV per atom
symmetry = Pmmm (47)

Cell lengths 3.2499, 3.9745, 8.0299 Å; angles 90.00, 90.00, 90.00 degrees
Fractional positions:
Mg 0.0000 0.0000 0.0000
Sb 0.5000 0.5000 0.2249
Sb 0.0000 0.0000 0.5000
Sb 0.5000 0.5000 0.7751

=====

VASP calculation (GGA-PBE) on a geometry-optimized MgSb2 structure.

Results
symmetry = C2/m (12)

Cell lengths 6.5056, 6.5056, 8.2085 Å; angles 80.61, 80.61, 28.65 degrees
Fractional positions:
Sb 0.0017 0.0017 0.2884
Sb 0.2354 0.2354 0.7129
Sb 0.7646 0.7646 0.2871
Sb 0.9983 0.9983 0.7116
Mg 0.3676 0.3676 0.9936
Mg 0.6324 0.6324 0.0064

=====

| no. | total magnetization (μB/cell) | E_tot (eV/atom) |
| --- | --- | --- |
| 1 | 0.00 | -2.81 |
| 2 | 0.00 | -3.03 |
| 3 | 0.00 | -3.35 |
| 4 | 0.00 | -3.03 |
| 5 | 0.00 | -3.56 |
| 6 | 0.00 | -3.32 |
| 7 | 0.00 | -3.28 |
| 8 | 0.00 | -2.79 |
| 9 | 0.00 | -2.85 |
| 10 | 0.00 | -3.51 |
| 11 | 0.00 | -3.42 |
| 12 | 0.00 | -3.35 |